A relaxed structure of La2Zn3Ni12Ir. Source: the Alexandria database, functional PBE-GGA.

Computed properties:
DFT total energy ... -0.369 Ry/atom

```
La2Zn3Ni12Ir
1.0
2.999 1.732 8.860
-2.999 1.732 8.860
0.000 -3.463 8.860
La Zn Ni Ir
2 3 12 1
Direct
0.152 0.152 0.152
0.848 0.848 0.848
0.000 0.500 0.500
0.500 0.000 0.500
0.500 0.500 0.000
0.080 0.080 0.689
0.080 0.689 0.080
0.146 0.568 0.568
0.311 0.920 0.920
0.432 0.432 0.854
0.432 0.854 0.432
0.568 0.146 0.568
0.568 0.568 0.146
0.689 0.080 0.080
0.854 0.432 0.432
0.920 0.311 0.920
0.920 0.920 0.311
0.500 0.500 0.500
```

=====

A relaxed structure of In12Se5S3. Source: the Alexandria database, functional PBE-GGA.

Computed properties:
ΔE_f (raw) ... -0.144 eV per atom

```
In12Se5S3
1.0
-8.715 8.715 8.715
8.715 -8.715 8.715
8.715 8.715 -8.715
In Se S
48 20 12
Direct
0.060 0.223 0.160
0.060 0.337 0.900
0.062 0.723 0.663
0.062 0.840 0.400
0.100 0.660 0.438
0.100 0.940 0.663
0.160 0.060 0.223
0.160 0.600 0.938
0.163 0.223 0.562
0.163 0.440 0.600
0.223 0.160 0.060
0.223 0.562 0.163
0.277 0.337 0.938
0.277 0.440 0.340
0.337 0.900 0.060
0.337 0.938 0.277
0.340 0.277 0.440
0.340 0.562 0.900
0.400 0.062 0.840
0.400 0.837 0.560
0.438 0.100 0.660
0.438 0.837 0.777
0.440 0.340 0.277
0.440 0.600 0.163
0.560 0.400 0.837
0.560 0.660 0.723
0.562 0.163 0.223
0.562 0.900 0.340
0.600 0.163 0.440
0.600 0.938 0.160
0.660 0.438 0.100
0.660 0.723 0.560
0.663 0.062 0.723
0.663 0.100 0.940
0.723 0.560 0.660
0.723 0.663 0.062
0.777 0.438 0.837
0.777 0.840 0.940
0.837 0.560 0.400
0.837 0.777 0.438
0.840 0.400 0.062
0.840 0.940 0.777
0.900 0.060 0.337
0.900 0.340 0.562
0.938 0.160 0.600
0.938 0.277 0.337
0.940 0.663 0.100
0.940 0.777 0.840
0.000 0.000 0.000
0.000 0.000 0.500
0.000 0.500 0.000
0.000 0.500 0.500
0.125 0.750 0.875
0.125 0.875 0.250
0.250 0.125 0.875
0.250 0.625 0.375
0.375 0.250 0.625
0.375 0.625 0.750
0.500 0.000 0.000
0.500 0.000 0.500
0.500 0.500 0.000
0.500 0.500 0.500
0.625 0.375 0.250
0.625 0.750 0.375
0.750 0.375 0.625
0.750 0.875 0.125
0.875 0.125 0.750
0.875 0.250 0.125
0.125 0.250 0.375
0.125 0.375 0.750
0.250 0.375 0.125
0.250 0.875 0.625
0.375 0.125 0.250
0.375 0.750 0.125
0.625 0.250 0.875
0.625 0.875 0.750
0.750 0.125 0.375
0.750 0.625 0.875
0.875 0.625 0.250
0.875 0.750 0.625
```

=====

A relaxed structure of TcSeNF2. Source: the Alexandria database, functional PBE-GGA.

Computed properties:
ΔE_f (raw) ... -0.184 eV per atom
Offset from the most stable computed form ... 0.00 eV/f.u.

```
TcSeNF2
1.0
4.237 0.000 0.000
0.000 4.237 0.000
0.000 0.000 3.839
Tc Se N F
1 1 1 2
Direct
0.000 0.000 0.000
0.500 0.500 0.500
0.000 0.000 0.500
0.000 0.500 0.000
0.500 0.000 0.000
```

=====

A relaxed structure of SiPdAu3. Source: the Alexandria database, functional PBE-GGA.

Computed properties:
ΔE_f (raw) ... -0.109 eV per atom
Offset from the most stable computed form ... 0.00 eV/f.u.

```
SiPdAu3
1.0
5.527 0.000 0.000
1.321 5.497 0.000
1.621 1.237 5.623
Si Pd Au
2 2 6
Direct
0.000 0.000 0.000
0.000 0.000 0.500
0.249 0.693 0.265
0.751 0.307 0.735
0.270 0.667 0.767
0.297 0.220 0.619
0.298 0.216 0.121
0.702 0.784 0.879
0.703 0.780 0.381
0.730 0.333 0.233
```

=====

A relaxed structure of Tl2MoBr. Source: the Alexandria database, functional PBE-GGA.

Computed properties:
ΔE_f (raw) ... 0.615 eV per atom
Offset from the most stable computed form ... 1.38 eV/f.u.

```
Tl2MoBr
1.0
1.943 -2.693 0.000
1.943 2.693 0.000
0.000 0.000 9.042
Tl Mo Br
2 1 1
Direct
0.000 0.000 0.233
0.000 0.000 0.767
0.500 0.500 0.000
0.500 0.500 0.500
```

=====

A relaxed structure of AcTb12Nd6. Source: the Alexandria database, functional PBE-GGA.

Computed properties:
DFT total energy ... -0.327 Ry/atom

```
AcTb12Nd6
1.0
6.727 3.884 4.229
-6.727 3.884 4.229
0.000 -7.768 4.229
Ac Tb Nd
1 12 6
Direct
0.000 0.000 0.000
0.080 0.357 0.357
0.242 0.500 0.758
0.242 0.758 0.500
0.357 0.080 0.357
0.357 0.357 0.080
0.500 0.242 0.758
0.500 0.758 0.242
0.643 0.643 0.920
0.643 0.920 0.643
0.758 0.242 0.500
0.758 0.500 0.242
0.920 0.643 0.643
0.102 0.102 0.652
0.102 0.652 0.102
0.348 0.898 0.898
0.652 0.102 0.102
0.898 0.348 0.898
0.898 0.898 0.348
```

=====

A relaxed structure of Nb7V2Sn3. Source: the Alexandria database, functional PBE-GGA.

Computed properties:
DFT total energy ... -0.605 Ry/atom

```
Nb7V2Sn3
1.0
4.881 0.000 0.000
0.000 3.343 0.000
-0.607 0.000 13.936
Nb V Sn
7 2 3
Direct
0.000 0.000 0.000
0.047 0.500 0.162
0.260 0.500 0.496
0.447 0.000 0.826
0.553 0.000 0.174
0.740 0.500 0.504
0.953 0.500 0.838
0.476 0.500 0.316
0.524 0.500 0.684
0.020 0.000 0.663
0.500 0.500 0.000
0.980 0.000 0.337
```

=====

A relaxed structure of Ac4PmY3Se8. Source: the Alexandria database, functional PBE-GGA.

Computed properties:
ΔE_f (raw) ... -1.814 eV per atom

```
Ac4PmY3Se8
1.0
4.210 2.431 7.271
-4.210 2.431 7.271
0.000 -4.862 7.271
Ac Pm Y Se
4 1 3 8
Direct
0.000 0.000 0.000
0.000 0.500 0.500
0.500 0.000 0.500
0.500 0.500 0.000
0.500 0.500 0.500
0.000 0.000 0.500
0.000 0.500 0.000
0.500 0.000 0.000
0.236 0.744 0.744
0.240 0.240 0.240
0.256 0.256 0.764
0.256 0.764 0.256
0.744 0.236 0.744
0.744 0.744 0.236
0.760 0.760 0.760
0.764 0.256 0.256
```

=====

A relaxed structure of YMg3Tl6. Source: the Alexandria database, functional PBE-GGA.

Computed properties:
DFT total energy ... -0.192 Ry/atom

```
YMg3Tl6
1.0
9.564 0.000 0.000
0.000 4.955 0.000
-2.086 0.000 11.076
Y Mg Tl
2 6 12
Direct
0.055 0.250 0.389
0.945 0.750 0.611
0.254 0.250 0.008
0.345 0.750 0.805
0.448 0.250 0.587
0.552 0.750 0.413
0.655 0.250 0.195
0.746 0.750 0.992
0.063 0.750 0.910
0.146 0.750 0.206
0.169 0.250 0.698
0.260 0.750 0.510
0.373 0.250 0.299
0.462 0.750 0.103
0.538 0.250 0.897
0.627 0.750 0.701
0.740 0.250 0.490
0.831 0.750 0.302
0.854 0.250 0.794
0.937 0.250 0.090
```

=====

A relaxed structure of SnPbN. Source: the Alexandria database, functional PBE-GGA.

Computed properties:
ΔE_f (raw) ... 0.292 eV per atom

```
SnPbN
1.0
3.361 0.000 0.000
0.527 6.762 0.000
0.248 3.284 6.341
Sn Pb N
2 2 2
Direct
0.001 0.266 0.465
0.999 0.734 0.535
0.412 0.750 0.009
0.588 0.250 0.991
0.500 0.370 0.252
0.500 0.630 0.748
```

=====

A relaxed structure of NdHoZn2. Source: the Alexandria database, functional PBE-GGA.

Computed properties:
DFT total energy ... -0.242 Ry/atom

```
NdHoZn2
1.0
0.000 3.621 3.621
3.621 0.000 3.621
3.621 3.621 0.000
Nd Ho Zn
1 1 2
Direct
0.000 0.000 0.000
0.500 0.500 0.500
0.250 0.250 0.250
0.750 0.750 0.750
```

=====

A relaxed structure of PmEr2Ir2. Source: the Alexandria database, functional PBE-GGA.

Computed properties:
Offset from the most stable computed form ... 0.15 eV/f.u.

```
PmEr2Ir2
1.0
5.440 0.000 0.000
0.000 4.424 0.000
-1.585 0.000 10.435
Pm Er Ir
2 4 4
Direct
0.089 0.250 0.285
0.911 0.750 0.715
0.251 0.250 0.972
0.395 0.250 0.615
0.605 0.750 0.385
0.749 0.750 0.028
0.154 0.750 0.476
0.276 0.750 0.137
0.724 0.250 0.863
0.846 0.250 0.524
```

=====

A relaxed structure of AlCoCu2. Source: the Alexandria database, functional PBE-GGA.

Computed properties:
DFT total energy ... -0.361 Ry/atom

```
AlCoCu2
1.0
2.935 0.000 0.000
0.000 2.954 0.000
0.000 0.000 5.524
Al Co Cu
1 1 2
Direct
0.000 0.000 0.000
0.500 0.500 0.227
0.000 0.000 0.483
0.500 0.500 0.728
```

=====

A relaxed structure of Cd2GeC. Source: the Alexandria database, functional PBE-GGA.

Computed properties:
Offset from the most stable computed form ... 0.71 eV/f.u.

```
Cd2GeC
1.0
0.000 3.301 3.301
3.301 0.000 3.301
3.301 3.301 0.000
Cd Ge C
2 1 1
Direct
0.250 0.250 0.250
0.750 0.750 0.750
0.000 0.000 0.000
0.500 0.500 0.500
```

=====

A relaxed structure of Ta2WBr. Source: the Alexandria database, functional PBE-GGA.

Computed properties:
ΔE_f (raw) ... 0.567 eV per atom
Offset from the most stable computed form ... 1.59 eV/f.u.

```
Ta2WBr
1.0
2.970 0.000 0.000
0.000 4.657 0.000
-1.106 0.000 5.246
Ta W Br
2 1 1
Direct
0.000 0.000 0.000
0.259 0.500 0.746
0.716 0.500 0.218
0.774 0.000 0.500
```

=====

A relaxed structure of ZrInSb2. Source: the Alexandria database, functional PBE-GGA.

Computed properties:
ΔE_f (raw) ... -0.091 eV per atom

```
ZrInSb2
1.0
-2.268 2.268 4.769
2.268 -2.268 4.769
2.268 2.268 -4.769
Zr In Sb
1 1 2
Direct
0.000 0.000 0.000
0.500 0.500 0.000
0.250 0.750 0.500
0.750 0.250 0.500
```

=====

A relaxed structure of ScHgRuO6. Source: the Alexandria database, functional PBE-GGA.

Computed properties:
ΔE_f (raw) ... -1.267 eV per atom

```
ScHgRuO6
1.0
5.333 0.000 0.000
-2.667 4.619 0.000
0.000 0.000 4.765
Sc Hg Ru O
1 1 1 6
Direct
0.000 0.000 0.000
0.333 0.667 0.500
0.667 0.333 0.000
0.358 0.050 0.773
0.358 0.308 0.227
0.692 0.050 0.227
0.692 0.642 0.773
0.950 0.308 0.773
0.950 0.642 0.227
```

=====

A relaxed structure of Mn2CrW2. Source: the Alexandria database, functional PBE-GGA.

Computed properties:
DFT total energy ... -0.760 Ry/atom

```
Mn2CrW2
1.0
6.776 0.000 0.000
0.000 6.776 0.000
0.000 0.000 3.013
Mn Cr W
4 2 4
Direct
0.124 0.376 0.000
0.376 0.876 0.000
0.624 0.124 0.000
0.876 0.624 0.000
0.000 0.000 0.000
0.500 0.500 0.000
0.179 0.679 0.500
0.321 0.179 0.500
0.679 0.821 0.500
0.821 0.321 0.500
```

=====

A relaxed structure of BaWN3. Source: the Alexandria database, functional PBE-GGA.

Computed properties:
ΔE_f (raw) ... -0.603 eV per atom

```
BaWN3
1.0
6.957 -1.967 0.000
6.957 1.967 0.000
-1.720 0.000 6.345
Ba W N
2 2 6
Direct
0.106 0.106 0.314
0.894 0.894 0.686
0.340 0.340 0.121
0.660 0.660 0.879
0.191 0.191 0.977
0.354 0.354 0.402
0.467 0.467 0.055
0.533 0.533 0.945
0.646 0.646 0.598
0.809 0.809 0.023
```

=====

A relaxed structure of Na2Ga2Au3. Source: the Alexandria database, functional PBE-GGA.

Computed properties:
Offset from the most stable computed form ... 0.22 eV/f.u.

```
Na2Ga2Au3
1.0
5.335 -2.102 0.000
5.335 2.102 0.000
-3.465 0.000 6.515
Na Ga Au
2 2 3
Direct
0.142 0.142 0.268
0.858 0.858 0.732
0.141 0.141 0.729
0.859 0.859 0.271
0.386 0.386 0.058
0.500 0.500 0.500
0.614 0.614 0.942
```